# 1
Ac2TaHO6 | PBE | optimized geometry

a = 5.629 Å, b = 5.519 Å, c = 10.109 Å
α = 90.00°, β = 122.63°, γ = 90.00°
Space group P2_1/c (No. 14)
Asymmetric unit:
Ac 0.232 0.015 0.244
Ta 0.500 0.000 0.000
H 0.000 0.000 0.500
O 0.196 0.234 0.962
O 0.227 0.732 0.960
O 0.346 0.008 0.771

* DFT total energy: -7.87 eV per atom
* magnetic moment: 0.00 μB per atom
* D(E_F): 0.000 states/eV per atom

=====

# 2
Ac2TbH2O6 | PBE | optimized geometry

a = 5.3370 Å, b = 5.3370 Å, c = 17.2673 Å
α = 90.00°, β = 90.00°, γ = 120.00°
Space group R-3m (No. 166, hexagonal axes)
Asymmetric unit:
Ac 0.0000 0.0000 0.2171
Tb 0.0000 0.0000 0.0000
H 0.0000 0.0000 0.4266
O 0.0181 0.5091 0.2428

* DFT total energy: -6.64 eV per atom
* magnetic moment: 0.00 μB per atom
* D(E_F): 0.500 states/eV per atom

=====

# 3
AcTcH2O6 | PBE | optimized geometry

a = 4.761 Å, b = 5.531 Å, c = 5.712 Å
α = 70.34°, β = 77.11°, γ = 65.77°
Space group P1 (No. 1)
Asymmetric unit:
Ac 0.000 0.000 0.000
Tc 0.490 0.547 0.497
H 0.052 0.303 0.329
H 0.591 0.003 0.635
O 0.179 0.684 0.709
O 0.281 0.495 0.302
O 0.494 0.112 0.755
O 0.534 0.853 0.283
O 0.793 0.443 0.692
O 0.868 0.276 0.303

* DFT total energy: -6.85 eV per atom
* magnetic moment: 0.00 μB per atom
* D(E_F): 0.000 states/eV per atom

=====

# 4
Ac2Te2HO2 | PBE | optimized geometry

a = 4.2322 Å, b = 4.2322 Å, c = 11.9005 Å
α = 90.00°, β = 90.00°, γ = 120.00°
Space group P-3m1 (No. 164)
Asymmetric unit:
Ac 0.3333 0.6667 0.1343
Te 0.0000 0.0000 0.3375
H 0.0000 0.0000 0.5000
O 0.3333 0.6667 0.9213

* DFT total energy: -5.79 eV per atom
* magnetic moment: 0.00 μB per atom
* D(E_F): 0.523 states/eV per atom